(1)
KPmMgSe3 | GGA-PBE | relaxed

Structure (POSCAR):
```
KPmMgSe3
1.0
9.154 0.000 0.000
0.000 4.329 0.000
-2.800 0.000 9.776
K Pm Mg Se
2 2 2 6
Cartesian
1.217 1.082 2.123 K
5.138 3.247 7.653 K
0.629 3.247 8.420 Pm
5.725 1.082 1.356 Pm
-0.920 1.082 5.925 Mg
7.274 3.247 3.851 Mg
-1.410 1.082 8.416 Se
0.356 3.247 5.251 Se
3.733 3.247 1.523 Se
2.621 1.082 8.253 Se
5.998 1.082 4.525 Se
7.764 3.247 1.360 Se
```

Properties
Raw total energy (eV/cell): -54.36
Formation energy from raw total energies (eV per formula unit): -9.3


(2)
KPm2MgTe4 | GGA-PBE | relaxed

Structure (POSCAR):
```
KPm2MgTe4
1.0
2.252 -7.731 0.000
2.252 7.731 0.000
0.000 0.000 16.029
K Pm Mg Te
2 4 2 8
Cartesian
2.252 5.902 12.022 K
2.252 -5.902 4.007 K
2.252 1.974 8.895 Pm
2.252 1.974 15.148 Pm
2.252 -1.974 0.881 Pm
2.252 -1.974 7.133 Pm
2.252 5.250 4.007 Mg
2.252 -5.250 12.022 Mg
0.000 0.000 0.000 Te
0.000 0.000 8.014 Te
2.252 3.587 1.809 Te
2.252 3.587 6.206 Te
2.252 0.871 12.022 Te
2.252 -0.871 4.007 Te
2.252 -3.587 9.823 Te
2.252 -3.587 14.220 Te
```

Properties
Raw total energy (eV/cell): -69.13
Formation energy from raw total energies (eV per formula unit): -9.8


(3)
KPmMgTe3 | GGA-PBE | relaxed

Structure (POSCAR):
```
KPmMgTe3
1.0
9.741 0.000 0.000
0.000 4.575 0.000
-3.098 0.000 10.291
K Pm Mg Te
2 2 2 6
Cartesian
1.291 1.144 2.366 K
5.353 3.431 7.926 K
0.526 3.431 8.888 Pm
6.118 1.144 1.404 Pm
-1.065 1.144 6.251 Mg
7.709 3.431 4.041 Mg
-1.694 1.144 8.935 Te
0.432 3.431 5.512 Te
3.962 3.431 1.695 Te
2.682 1.144 8.596 Te
6.212 1.144 4.779 Te
8.337 3.431 1.356 Te
```

Properties
Raw total energy (eV/cell): -48.28
Formation energy from raw total energies (eV per formula unit): -7.3


(4)
KPrMgSe3 | GGA-PBE | relaxed

Structure (POSCAR):
```
KPrMgSe3
1.0
9.227 0.000 0.000
0.000 4.373 0.000
-2.642 0.000 9.827
K Pr Mg Se
2 2 2 6
Cartesian
1.230 1.093 2.109 K
5.355 3.280 7.718 K
0.806 3.280 8.438 Pr
5.780 1.093 1.388 Pr
-0.817 1.093 5.943 Mg
7.402 3.280 3.883 Mg
-1.266 1.093 8.444 Se
0.430 3.280 5.244 Se
3.753 3.280 1.536 Se
2.833 1.093 8.291 Se
6.155 1.093 4.582 Se
7.851 3.280 1.382 Se
```

Properties
Raw total energy (eV/cell): -54.32
Formation energy from raw total energies (eV per formula unit): -9.2


(5)
KMgPt | GGA-PBE | relaxed

Structure (POSCAR):
```
KMgPt
1.0
-1.543 2.064 6.036
1.543 -2.064 6.036
1.543 2.064 -6.036
K Mg Pt
1 1 1
Cartesian
0.000 0.000 0.000 K
0.000 0.000 8.853 Mg
0.000 0.000 3.449 Pt
```

Properties
Energy of formation (kJ/mol of atoms): -27
Raw total energy (eV/cell): -9.58
Offset from the most stable computed form (meV/atom): 72


(6)
KMgPt2 | GGA-PBE | relaxed

Structure (POSCAR):
```
KMgPt2
1.0
4.283 -1.427 0.000
4.283 1.427 0.000
-0.749 0.000 7.387
K Mg Pt
1 1 2
Cartesian
0.000 0.000 0.000 K
3.909 0.000 3.693 Mg
1.508 0.000 4.894 Pt
6.309 0.000 2.493 Pt
```

Properties
Energy of formation (kJ/mol of atoms): -22
Raw total energy (eV/cell): -15.70


(7)
KMgPt2 | GGA-PBE | relaxed

Structure (POSCAR):
```
KMgPt2
1.0
3.026 -4.297 0.000
3.026 4.297 0.000
0.000 0.000 2.922
K Mg Pt
1 1 2
Cartesian
0.000 0.000 0.000 K
3.026 0.000 0.000 Mg
1.513 2.149 1.461 Pt
1.513 -2.149 1.461 Pt
```

Properties
Energy of formation (kJ/mol of atoms): -6
Raw total energy (eV/cell): -15.01


(8)
KMgPt2 | GGA-PBE | relaxed

Structure (POSCAR):
```
KMgPt2
1.0
-2.532 2.532 8.925
2.532 -2.532 8.925
2.532 2.532 -8.925
K Mg Pt
2 2 4
Cartesian
0.000 0.000 0.000 K
0.000 2.532 4.462 K
2.532 0.000 4.462 Mg
0.000 0.000 8.925 Mg
1.266 2.264 -2.231 Pt
2.801 1.266 2.231 Pt
1.266 0.268 6.694 Pt
-0.268 1.266 11.156 Pt
```

Properties
Energy of formation (kJ/mol of atoms): -9
Raw total energy (eV/cell): -30.26


(9)
KMgPt2 | GGA-PBE | relaxed

Structure (POSCAR):
```
KMgPt2
1.0
3.364 0.000 0.000
0.000 3.364 0.000
0.000 0.000 8.149
K Mg Pt
1 1 2
Cartesian
0.000 0.000 0.000 K
1.682 1.682 3.212 Mg
0.000 0.000 4.400 Pt
1.682 1.682 5.913 Pt
```

Properties
Energy of formation (kJ/mol of atoms): -3
Raw total energy (eV/cell): -14.91


(10)
K2MgPt | GGA-PBE | relaxed

Structure (POSCAR):
```
K2MgPt
1.0
3.695 0.000 0.000
0.000 3.695 0.000
0.000 0.000 10.061
K Mg Pt
2 1 1
Cartesian
0.000 0.000 0.000 K
1.847 1.847 4.125 K
0.000 0.000 6.896 Mg
1.847 1.847 7.493 Pt
```

Properties
Energy of formation (kJ/mol of atoms): -14
Raw total energy (eV/cell): -10.42


(11)
KMgPt2 | GGA-PBE | relaxed

Structure (POSCAR):
```
KMgPt2
1.0
4.278 0.000 0.000
0.000 4.278 0.000
0.000 0.000 4.203
K Mg Pt
1 1 2
Cartesian
0.000 0.000 0.000 K
2.139 2.139 0.000 Mg
0.000 2.139 2.102 Pt
2.139 0.000 2.102 Pt
```

Properties
Energy of formation (kJ/mol of atoms): 2
Raw total energy (eV/cell): -14.71


(12)
K2MgPt | GGA-PBE | relaxed

Structure (POSCAR):
```
K2MgPt
1.0
3.928 -2.267 0.000
3.928 2.267 0.000
-2.524 0.000 8.717
K Mg Pt
2 1 1
Cartesian
0.000 0.000 0.000 K
0.000 0.000 4.679 K
2.618 0.000 2.334 Mg
5.237 0.000 2.343 Pt
```

Properties
Energy of formation (kJ/mol of atoms): -19
Raw total energy (eV/cell): -10.61


(13)
KMg2Pt2 | GGA-PBE | relaxed

Structure (POSCAR):
```
KMg2Pt2
1.0
8.210 0.000 0.000
0.000 8.210 0.000
0.000 0.000 2.903
K Mg Pt
2 4 4
Cartesian
0.000 0.000 0.000 K
4.105 4.105 0.000 K
1.075 3.030 0.000 Mg
3.030 7.135 0.000 Mg
5.180 1.075 0.000 Mg
7.135 5.180 0.000 Mg
1.303 5.408 1.452 Pt
2.802 1.303 1.452 Pt
5.408 6.908 1.452 Pt
6.908 2.802 1.452 Pt
```

Properties
Energy of formation (kJ/mol of atoms): -51
Raw total energy (eV/cell): -38.07
Offset from the most stable computed form (meV/atom): 0


(14)
KMgPt2 | GGA-PBE | relaxed

Structure (POSCAR):
```
KMgPt2
1.0
-1.426 2.627 5.596
1.426 -2.627 5.596
1.426 2.627 -5.596
K Mg Pt
1 1 2
Cartesian
0.000 0.000 0.000 K
1.426 0.000 3.434 Mg
0.000 0.000 5.741 Pt
0.000 2.627 2.477 Pt
```

Properties
Energy of formation (kJ/mol of atoms): -12
Raw total energy (eV/cell): -15.29


(15)
KMg2Pt2 | GGA-PBE | relaxed

Structure (POSCAR):
```
KMg2Pt2
1.0
-2.245 2.245 5.586
2.245 -2.245 5.586
2.245 2.245 -5.586
K Mg Pt
1 2 2
Cartesian
0.000 0.000 0.000 K
2.245 0.000 2.793 Mg
0.000 2.245 2.793 Mg
0.000 0.000 4.269 Pt
0.000 0.000 6.904 Pt
```

Properties
Energy of formation (kJ/mol of atoms): -45
Raw total energy (eV/cell): -18.72
Offset from the most stable computed form (meV/atom): 64


(16)
K2MgPt | GGA-PBE | relaxed

Structure (POSCAR):
```
K2MgPt
1.0
3.333 0.000 0.000
0.000 3.333 0.000
0.000 0.000 10.908
K Mg Pt
2 1 1
Cartesian
0.000 0.000 2.190 K
0.000 0.000 8.719 K
1.666 1.666 5.454 Mg
1.666 1.666 0.000 Pt
```

Properties
Energy of formation (kJ/mol of atoms): 24
Raw total energy (eV/cell): -8.85


(17)
K2MgPt | GGA-PBE | relaxed

Structure (POSCAR):
```
K2MgPt
1.0
3.058 -3.463 0.000
3.058 3.463 0.000
0.000 0.000 5.233
K Mg Pt
2 1 1
Cartesian
1.529 1.732 0.000 K
1.529 -1.732 0.000 K
0.000 0.000 2.616 Mg
3.058 0.000 2.616 Pt
```

Properties
Energy of formation (kJ/mol of atoms): 16
Raw total energy (eV/cell): -9.15


(18)
KMgPt2 | GGA-PBE | relaxed

Structure (POSCAR):
```
KMgPt2
1.0
-2.212 2.212 3.986
2.212 -2.212 3.986
2.212 2.212 -3.986
K Mg Pt
1 1 2
Cartesian
0.000 0.000 0.000 K
2.212 0.000 1.993 Mg
0.000 0.000 3.986 Pt
0.000 2.212 1.993 Pt
```

Properties
Energy of formation (kJ/mol of atoms): 7
Raw total energy (eV/cell): -14.47


(19)
KMgPt | GGA-PBE | relaxed

Structure (POSCAR):
```
KMgPt
1.0
0.000 3.514 3.514
3.514 0.000 3.514
3.514 3.514 0.000
K Mg Pt
1 1 1
Cartesian
0.000 0.000 0.000 K
1.757 1.757 1.757 Mg
5.271 5.271 5.271 Pt
```

Properties
Energy of formation (kJ/mol of atoms): 66
Raw total energy (eV/cell): -6.68
Offset from the most stable computed form (meV/atom): 1040


(20)
KMgPt4 | GGA-PBE | relaxed

Structure (POSCAR):
```
KMgPt4
1.0
0.000 3.831 3.831
3.831 0.000 3.831
3.831 3.831 0.000
K Mg Pt
1 1 4
Cartesian
0.000 0.000 0.000 K
5.747 5.747 5.747 Mg
2.875 2.875 2.875 Pt
4.787 4.787 2.875 Pt
4.787 2.875 4.787 Pt
2.875 4.787 4.787 Pt
```

Properties
Energy of formation (kJ/mol of atoms): -32
Raw total energy (eV/cell): -28.84